[1]
The following is a DFT calculation (GGA-PBEsol) of an optimized crystal structure of ZrNiSb.

Cell lengths 6.680, 4.130, 7.562 Å; angles 90.00, 90.00, 90.00 degrees
Fractional positions:
Zr 0.000 0.250 0.194
Zr 0.000 0.750 0.806
Zr 0.500 0.250 0.306
Zr 0.500 0.750 0.694
Ni 0.184 0.250 0.588
Ni 0.316 0.750 0.088
Ni 0.684 0.250 0.912
Ni 0.816 0.750 0.412
Sb 0.205 0.750 0.408
Sb 0.295 0.250 0.908
Sb 0.705 0.750 0.092
Sb 0.795 0.250 0.592

Raw formation energy: -0.704 eV/atom
Space group: Pnma, No. 62

---

[2]
The following is a DFT calculation (GGA-PBEsol) of an optimized crystal structure of Sc3Ni.

Cell lengths 3.180, 3.180, 7.715 Å; angles 90.00, 90.00, 90.00 degrees
Fractional positions:
Sc 0.000 0.000 0.000
Sc 0.500 0.500 0.306
Sc 0.500 0.500 0.694
Ni 0.000 0.000 0.500

E_form: -0.2019 eV per atom
Space group: P4/mmm, No. 123

---

Size of the total moment: 0.0, 0.0 (μB/f.u.)